Material: V4O7F5
Method: DFT, PBE+U
State: optimized geometry

Properties
- Relative energy among the computed polymorphs: 3.109 eV/f.u.

Cell: 5.1270 5.3200 8.3983 Å, 93.43 91.00 104.70°
Element x y z (fractional)
V (0.0000, 0.0000, 0.0000)
V (0.0836, 0.6376, 0.2412)
V (0.5810, 0.2516, 0.4510)
V (0.6876, 0.7378, 0.6200)
O (0.0867, 0.3001, 0.8569)
O (0.2379, 0.8371, 0.0638)
O (0.3120, 0.2851, 0.9290)
O (0.4882, 0.3592, 0.6269)
O (0.7734, 0.0427, 0.4952)
O (0.8358, 0.5543, 0.4315)
O (0.8471, 0.8122, 0.8031)
F (0.2833, 0.9937, 0.3601)
F (0.3520, 0.4781, 0.3250)
F (0.3557, 0.7980, 0.6481)
F (0.7713, 0.7569, 0.1416)
F (0.9037, 0.2696, 0.1448)